Computed, not measured: crystalline Nb2VNi at its relaxed geometry at the GGA-PBE level of DFT.

The structure in POSCAR format:
```
Nb2VNi
1.0
6.2503 0.0000 0.0000
0.0000 6.2503 0.0000
0.0000 0.0000 6.2503
Nb V Ni
8 4 4
direct
0.2500 0.2500 0.2500
0.2500 0.2500 0.7500
0.2500 0.7500 0.2500
0.2500 0.7500 0.7500
0.7500 0.2500 0.2500
0.7500 0.2500 0.7500
0.7500 0.7500 0.2500
0.7500 0.7500 0.7500
0.0000 0.0000 0.0000
0.0000 0.5000 0.5000
0.5000 0.0000 0.5000
0.5000 0.5000 0.0000
0.0000 0.0000 0.5000
0.0000 0.5000 0.0000
0.5000 0.0000 0.0000
0.5000 0.5000 0.5000
```

The formation energy from the elements is 1 meV/atom. As for the energy above the lowest structure with this stoichiometry: 54.0 meV per atom. The symmetry is Fm-3m.